# 1
Dy2SiB3 after structural relaxation. Source: Alexandria via LeMat-Bulk, functional PBE.

Summary:
**Symmetry**: No. 194
**Electronic total energy**: -0.46814 Ry per atom
**Magnetization**: 0.00 μB per cell

a = 3.439 Å, b = 3.439 Å, c = 16.000 Å
α = 90.00°, β = 90.00°, γ = 120.00°
Fractional positions:
Dy1 0.000 0.000 0.384
B1 0.667 0.333 0.501
B2 0.333 0.667 0.499
B3 0.667 0.333 0.250
Si1 0.667 0.333 0.750
B4 0.333 0.667 0.001
Dy2 0.000 0.000 0.116
Si2 0.333 0.667 0.250
Dy3 0.000 0.000 0.616
B5 0.333 0.667 0.750
Dy4 0.000 0.000 0.884
B6 0.667 0.333 0.999

# 2
Dy3SiB4 after structural relaxation. Source: Alexandria via LeMat-Bulk, functional PBE.

Summary:
**Symmetry**: No. 71
**Electronic total energy**: -0.44198 Ry per atom
**Magnetization**: 0.00 μB per cell

a = 3.913 Å, b = 4.843 Å, c = 7.317 Å
α = 109.32°, β = 105.51°, γ = 90.00°
Fractional positions:
B1 0.380 0.213 0.760
Dy1 0.813 0.813 0.626
B2 0.620 0.787 0.240
Dy2 0.187 0.187 0.374
Dy3 0.000 0.500 0.000
B3 0.380 0.547 0.760
B4 0.620 0.453 0.240
Si1 0.500 0.000 0.000

# 3
DySi2Tc2B after structural relaxation. Source: Alexandria via LeMat-Bulk, functional PBE.

Summary:
**Symmetry**: No. 123
**Electronic total energy**: -0.57119 Ry per atom
**Magnetization**: 0.00 μB per cell

a = 4.210 Å, b = 4.210 Å, c = 5.203 Å
α = 90.00°, β = 90.00°, γ = 90.00°
Fractional positions:
B1 0.000 0.000 0.000
Dy1 0.000 0.000 0.500
Tc1 0.500 0.000 0.000
Tc2 0.000 0.500 0.000
Si1 0.500 0.500 0.269
Si2 0.500 0.500 0.731

# 4
SmDyB after structural relaxation. Source: Alexandria via LeMat-Bulk, functional PBE.

Summary:
**Symmetry**: No. 1
**ΔE_f**: 59 meV/atom
**Magnetization**: 0.00 μB per cell

a = 3.725 Å, b = 6.413 Å, c = 6.052 Å
α = 88.82°, β = 72.33°, γ = 89.94°
Fractional positions:
Dy1 0.295 0.986 0.369
B1 0.911 0.742 0.158
Sm1 0.324 0.490 0.389
Dy2 0.574 0.780 0.838
Sm2 0.026 0.269 0.922
B2 0.689 0.209 0.597

# 5
SmDy3B after structural relaxation. Source: Alexandria via LeMat-Bulk, functional PBE.

Summary:
**Symmetry**: No. 221
**ΔE_f**: 62 meV/atom
**Magnetization**: 0.00 μB per cell

a = 5.173 Å, b = 5.173 Å, c = 5.173 Å
α = 90.00°, β = 90.00°, γ = 90.00°
Fractional positions:
B1 0.000 0.000 0.000
Dy1 0.500 0.000 0.000
Dy2 0.000 0.500 0.000
Sm1 0.500 0.500 0.500
Dy3 0.000 0.000 0.500

# 6
SmDy2B6 after structural relaxation. Source: Alexandria via LeMat-Bulk, functional PBE.

Summary:
**Symmetry**: No. 191
**ΔE_f**: -503 meV/atom
**Magnetization**: 0.00 μB per cell

a = 3.935 Å, b = 5.724 Å, c = 5.724 Å
α = 120.00°, β = 90.00°, γ = 90.00°
Fractional positions:
B1 0.500 0.337 0.000
B2 0.500 0.000 0.663
Sm1 0.000 0.000 0.000
Dy1 0.000 0.667 0.333
B3 0.500 0.337 0.337
B4 0.500 0.663 0.663
Dy2 0.000 0.333 0.667
B5 0.500 0.663 0.000
B6 0.500 0.000 0.337

# 7
DySnB after structural relaxation. Source: Alexandria via LeMat-Bulk, functional PBE.

Summary:
**Symmetry**: No. 63
**ΔE_f**: 272 meV/atom
**Magnetization**: 0.00 μB per cell

a = 3.335 Å, b = 4.497 Å, c = 8.316 Å
α = 90.00°, β = 101.57°, γ = 90.00°
Fractional positions:
Dy1 0.932 0.250 0.863
Dy2 0.068 0.750 0.137
Sn1 0.197 0.250 0.395
B1 0.419 0.750 0.838
B2 0.581 0.250 0.162
Sn2 0.803 0.750 0.605

# 8
Dy4Sn2B after structural relaxation. Source: Alexandria via LeMat-Bulk, functional PBE.

Summary:
**Symmetry**: No. 139
**ΔE_f**: -510 meV/atom
**Magnetization**: 0.00 μB per cell

a = 4.873 Å, b = 4.873 Å, c = 8.738 Å
α = 73.81°, β = 73.81°, γ = 90.00°
Fractional positions:
Dy1 0.000 0.500 0.000
Dy2 0.165 0.165 0.669
Dy3 0.835 0.835 0.331
Sn1 0.638 0.638 0.724
Sn2 0.362 0.362 0.276
B1 0.000 0.000 0.000
Dy4 0.500 0.000 0.000